[1]
First-principles (GGA-PBE) data for an optimized crystal structure of NaMnNiP2, as listed in the Alexandria database.

a b c (Å): 3.784 3.784 9.972
angles (deg): 90.00 90.00 90.00
Space group I-4m2 (No. 119)
One atom of each set of equivalent atoms:
Na: 0.000 0.000 0.000 x2
Mn: 0.000 0.500 0.250 x2
Ni: 0.000 0.500 0.750 x2
P: 0.000 0.000 0.370 x4

The value obtained for the calculated volume is 143 Å³ per cell. The calculation puts the total magnetization at 0.0 μB/f.u. The crystal system is tetragonal. For the energy of formation, the calculation gives -0.500 eV per atom. For the density of states at the Fermi level, the calculation gives 4.2 states/eV per cell.


[2]
First-principles (GGA-PBE) data for an optimized crystal structure of Na2MnNiRh, as listed in the Alexandria database.

a b c (Å): 5.215 5.215 4.686
angles (deg): 90.00 90.00 90.00
Space group P4/mmm (No. 123)
One atom of each set of equivalent atoms:
Na: 0.000 0.500 0.000 x2
Mn: 0.000 0.000 0.500 x1
Ni: 0.500 0.500 0.500 x1
Rh: 0.000 0.000 0.000 x1

The value obtained for the calculated volume is 127 Å³ per cell. The calculation puts the total magnetization at 5.5 μB/f.u. The crystal system is tetragonal. For the energy of formation, the calculation gives 1.123 eV per atom. For the density of states at the Fermi level, the calculation gives 12.1 states/eV per cell.


[3]
First-principles (GGA-PBE) data for an optimized crystal structure of Na4Mn3NiS8, as listed in the Alexandria database.

a b c (Å): 12.389 7.148 7.714
angles (deg): 90.00 122.43 90.00
Space group C2/m (No. 12)
One atom of each set of equivalent atoms:
Na: 0.000 0.000 0.000 x2
Na: 0.000 0.500 0.000 x2
Na: 0.250 0.250 0.000 x4
Mn: 0.000 0.000 0.500 x2
Mn: 0.250 0.250 0.500 x4
Ni: 0.000 0.500 0.500 x2
S: 0.019 0.249 0.308 x8
S: 0.231 0.500 0.692 x4
S: 0.236 0.000 0.709 x4

The value obtained for the calculated volume is 577 Å³ per cell. The calculation puts the total magnetization at 9.1 μB/f.u. The crystal system is monoclinic. For the density of states at the Fermi level, the calculation gives 12.5 states/eV per cell. The calculation puts the raw formation energy at -0.738 eV/atom.


[4]
First-principles (GGA-PBE) data for an optimized crystal structure of Na3Mn3NiS8, as listed in the Alexandria database.

a b c (Å): 11.907 6.882 7.708
angles (deg): 90.00 120.99 90.00
Space group C2/m (No. 12)
One atom of each set of equivalent atoms:
Na: 0.000 0.000 0.000 x2
Na: 0.250 0.250 0.000 x4
Mn: 0.000 0.500 0.500 x2
Mn: 0.250 0.250 0.500 x4
Ni: 0.000 0.000 0.500 x2
S: 0.021 0.250 0.313 x8
S: 0.229 0.000 0.687 x4
S: 0.231 0.500 0.694 x4

The value obtained for the calculated volume is 541 Å³ per cell. The calculation puts the total magnetization at 6.2 μB/f.u. The crystal system is monoclinic. For the density of states at the Fermi level, the calculation gives 11.2 states/eV per cell. The calculation puts the raw formation energy at -0.697 eV/atom.


[5]
First-principles (GGA-PBE) data for an optimized crystal structure of NaMn2NiS4, as listed in the Alexandria database.

a b c (Å): 3.471 12.803 13.288
angles (deg): 90.00 90.00 90.00
Space group Cmcm (No. 63)
One atom of each set of equivalent atoms:
Na: 0.000 0.153 0.250 x4
Mn: 0.000 0.395 0.086 x8
Ni: 0.000 0.130 0.750 x4
S: 0.000 0.000 0.000 x4
S: 0.000 0.227 0.612 x8
S: 0.000 0.477 0.250 x4

The value obtained for the calculated volume is 591 Å³ per cell. The calculation puts the total magnetization at 7.0 μB/f.u. The crystal system is orthorhombic. For the density of states at the Fermi level, the calculation gives 13.9 states/eV per cell. The calculation puts the raw formation energy at -0.599 eV/atom.


[6]
First-principles (GGA-PBE) data for an optimized crystal structure of NaMnNiS3, as listed in the Alexandria database.

a b c (Å): 7.486 3.484 8.538
angles (deg): 90.00 109.47 90.00
Space group P2_1/m (No. 11)
One atom of each set of equivalent atoms:
Na: 0.228 0.250 0.259 x2
Mn: 0.314 0.750 0.842 x2
Ni: 0.084 0.250 0.610 x2
S: 0.114 0.250 0.874 x2
S: 0.232 0.750 0.551 x2
S: 0.460 0.750 0.138 x2

The value obtained for the calculated volume is 210 Å³ per cell. The calculation puts the total magnetization at 2.3 μB/f.u. The crystal system is monoclinic. For the density of states at the Fermi level, the calculation gives 4.2 states/eV per cell. The calculation puts the raw formation energy at -0.660 eV/atom.


[7]
First-principles (GGA-PBE) data for an optimized crystal structure of NaMnNiSe3, as listed in the Alexandria database.

a b c (Å): 7.725 3.665 9.080
angles (deg): 90.00 109.62 90.00
Space group P2_1/m (No. 11)
One atom of each set of equivalent atoms:
Na: 0.233 0.250 0.271 x2
Mn: 0.309 0.750 0.838 x2
Ni: 0.082 0.250 0.606 x2
Se: 0.101 0.250 0.867 x2
Se: 0.242 0.750 0.550 x2
Se: 0.453 0.750 0.135 x2

The value obtained for the calculated volume is 242 Å³ per cell. The calculation puts the total magnetization at 2.4 μB/f.u. The crystal system is monoclinic. For the density of states at the Fermi level, the calculation gives 5.5 states/eV per cell. The calculation puts the raw formation energy at -0.563 eV/atom.


[8]
First-principles (GGA-PBE) data for an optimized crystal structure of Na2MnZnNi, as listed in the Alexandria database.

a b c (Å): 5.428 5.428 4.743
angles (deg): 90.00 90.00 90.00
Space group P4/mmm (No. 123)
One atom of each set of equivalent atoms:
Na: 0.000 0.500 0.000 x2
Mn: 0.000 0.000 0.000 x1
Zn: 0.000 0.000 0.500 x1
Ni: 0.500 0.500 0.500 x1

The value obtained for the calculated volume is 140 Å³ per cell. The calculation puts the total magnetization at 4.7 μB/f.u. The crystal system is tetragonal. For the energy of formation, the calculation gives 1.172 eV per atom. For the density of states at the Fermi level, the calculation gives 13.2 states/eV per cell.